Entry 1:
{"formula": "BeInTc2", "functional": "PBE", "state": "relaxed", "lattice": [[3.8511, 0.0000, 0.0000], [0.0000, 3.8511, 0.0000], [0.0000, 0.0000, 18.1827]], "species": ["Be", "Be", "Be", "Be", "In", "In", "In", "In", "Tc", "Tc", "Tc", "Tc", "Tc", "Tc", "Tc", "Tc"], "fractional_positions": [[0.0000, 0.0000, 0.0000], [0.0000, 0.5000, 0.2500], [0.5000, 0.0000, 0.7500], [0.5000, 0.5000, 0.5000], [0.0000, 0.0000, 0.5000], [0.0000, 0.5000, 0.7500], [0.5000, 0.0000, 0.2500], [0.5000, 0.5000, 0.0000], [0.1744, 0.7500, 0.1250], [0.2500, 0.1744, 0.8750], [0.2500, 0.3256, 0.3750], [0.3256, 0.7500, 0.6250], [0.6744, 0.2500, 0.6250], [0.7500, 0.6744, 0.3750], [0.7500, 0.8256, 0.8750], [0.8256, 0.2500, 0.1250]], "mass_density_g_cm3": 7.88, "formation_enthalpy_0k_mev_per_atom": 555, "polymorph_energy_mev_per_atom": 567, "dos_ef_per_ev_cell": 18.04}

Entry 2:
{"formula": "RbNa3Te3", "functional": "PBE", "state": "relaxed", "lattice": [[8.5181, 0.0000, 0.0000], [0.0000, 8.5181, 0.0000], [0.0000, 0.0000, 8.5181]], "species": ["Rb", "Rb", "Na", "Na", "Na", "Na", "Na", "Na", "Te", "Te", "Te", "Te", "Te", "Te"], "fractional_positions": [[0.0000, 0.0000, 0.0000], [0.5000, 0.5000, 0.5000], [0.0000, 0.2500, 0.5000], [0.0000, 0.7500, 0.5000], [0.2500, 0.5000, 0.0000], [0.5000, 0.0000, 0.2500], [0.5000, 0.0000, 0.7500], [0.7500, 0.5000, 0.0000], [0.0000, 0.5000, 0.2500], [0.0000, 0.5000, 0.7500], [0.2500, 0.0000, 0.5000], [0.5000, 0.2500, 0.0000], [0.5000, 0.7500, 0.0000], [0.7500, 0.0000, 0.5000]], "mass_density_g_cm3": 2.89, "formation_energy_uncorrected_ev_per_atom": -0.5322, "dos_ef_per_ev_cell": 21.71}

Entry 3:
{"formula": "Tb5Zn4Ni", "functional": "PBE", "state": "relaxed", "lattice": [[3.5434, 0.0000, 0.0000], [0.0000, 3.5434, 0.0000], [0.0000, 0.0000, 17.7137]], "species": ["Tb", "Tb", "Tb", "Tb", "Tb", "Zn", "Zn", "Zn", "Zn", "Ni"], "fractional_positions": [[0.0000, 0.0000, 0.0000], [0.0000, 0.0000, 0.2040], [0.0000, 0.0000, 0.4085], [0.0000, 0.0000, 0.5915], [0.0000, 0.0000, 0.7960], [0.5000, 0.5000, 0.1029], [0.5000, 0.5000, 0.3043], [0.5000, 0.5000, 0.6957], [0.5000, 0.5000, 0.8971], [0.5000, 0.5000, 0.5000]], "mass_density_g_cm3": 8.32, "formation_enthalpy_0k_mev_per_atom": -349, "dos_ef_per_ev_cell": 8.70}

Entry 4:
{"formula": "La4TlAu", "functional": "PBE", "state": "relaxed", "lattice": [[5.7201, 0.0000, 0.0000], [0.0000, 7.3272, 0.0000], [-1.4746, 0.0000, 9.0802]], "species": ["La", "La", "La", "La", "La", "La", "La", "La", "Tl", "Tl", "Au", "Au"], "fractional_positions": [[0.1710, 0.2500, 0.0495], [0.2065, 0.7500, 0.3743], [0.3225, 0.5225, 0.7270], [0.3225, 0.9775, 0.7270], [0.6775, 0.0225, 0.2730], [0.6775, 0.4775, 0.2730], [0.7935, 0.2500, 0.6257], [0.8290, 0.7500, 0.9505], [0.2260, 0.2500, 0.4152], [0.7740, 0.7500, 0.5848], [0.3452, 0.7500, 0.0546], [0.6548, 0.2500, 0.9454]], "mass_density_g_cm3": 8.35, "formation_enthalpy_0k_mev_per_atom": -402, "polymorph_energy_mev_per_atom": 0, "dos_ef_per_ev_cell": 14.15}

Entry 5:
{"formula": "LiHWBr2", "functional": "PBE", "state": "relaxed", "lattice": [[5.2118, 0.0000, 0.0000], [0.0000, 5.2118, 0.0000], [0.0000, 0.0000, 3.5621]], "species": ["Li", "H", "W", "Br", "Br"], "fractional_positions": [[0.0000, 0.0000, 0.0000], [0.5000, 0.5000, 0.5000], [0.5000, 0.5000, 0.0000], [0.0000, 0.5000, 0.5000], [0.5000, 0.0000, 0.5000]], "mass_density_g_cm3": 6.03, "dos_ef_per_ev_cell": 2.00, "total_energy_ev_per_atom": -3.85}

Entry 6:
{"formula": "Pa2TaTc", "functional": "PBE", "state": "relaxed", "lattice": [[3.0494, 0.0000, 0.0000], [-1.5247, 2.6408, 0.0000], [0.0000, 0.0000, 31.1816]], "species": ["Pa", "Pa", "Pa", "Pa", "Pa", "Pa", "Ta", "Ta", "Ta", "Tc", "Tc", "Tc"], "fractional_positions": [[0.0000, 0.0000, 0.0924], [0.0000, 0.0000, 0.9076], [0.3333, 0.6667, 0.5743], [0.3333, 0.6667, 0.7590], [0.6667, 0.3333, 0.2410], [0.6667, 0.3333, 0.4257], [0.0000, 0.0000, 0.0000], [0.3333, 0.6667, 0.6667], [0.6667, 0.3333, 0.3333], [0.0000, 0.0000, 0.5000], [0.3333, 0.6667, 0.1667], [0.6667, 0.3333, 0.8333]], "mass_density_g_cm3": 14.70, "formation_enthalpy_0k_mev_per_atom": 368, "polymorph_energy_mev_per_atom": 210, "dos_ef_per_ev_cell": 16.37}

Entry 7:
{"formula": "Ac2AsP", "functional": "PBE", "state": "relaxed", "lattice": [[4.4061, 0.0000, 0.0000], [-2.2031, 3.8158, 0.0000], [0.0000, 0.0000, 23.0756]], "species": ["Ac", "Ac", "Ac", "Ac", "Ac", "Ac", "As", "As", "As", "P", "P", "P"], "fractional_positions": [[0.0000, 0.0000, 0.0000], [0.0000, 0.0000, 0.1664], [0.3333, 0.6667, 0.6667], [0.3333, 0.6667, 0.8330], [0.6667, 0.3333, 0.3333], [0.6667, 0.3333, 0.4997], [0.0000, 0.0000, 0.5843], [0.3333, 0.6667, 0.2509], [0.6667, 0.3333, 0.9176], [0.0000, 0.0000, 0.4159], [0.3333, 0.6667, 0.0826], [0.6667, 0.3333, 0.7492]], "mass_density_g_cm3": 7.19, "formation_enthalpy_0k_mev_per_atom": -1331, "polymorph_energy_mev_per_atom": 143, "dos_ef_per_ev_cell": 0.15}

Entry 8:
{"formula": "Mg2RhCl", "functional": "PBE", "state": "relaxed", "lattice": [[3.7015, 0.0000, 0.0000], [0.0000, 3.7015, 0.0000], [0.0000, 0.0000, 10.9190]], "species": ["Mg", "Mg", "Mg", "Mg", "Rh", "Rh", "Cl", "Cl"], "fractional_positions": [[0.0000, 0.0000, 0.0000], [0.0000, 0.5000, 0.2500], [0.5000, 0.0000, 0.7500], [0.5000, 0.5000, 0.5000], [0.0000, 0.5000, 0.7500], [0.5000, 0.0000, 0.2500], [0.0000, 0.0000, 0.5000], [0.5000, 0.5000, 0.0000]], "mass_density_g_cm3": 4.15, "formation_energy_uncorrected_ev_per_atom": -0.2880, "polymorph_energy_mev_per_atom": 521, "dos_ef_per_ev_cell": 1.92}

Entry 9:
{"formula": "NbTl2Br4F2", "functional": "PBE", "state": "relaxed", "lattice": [[5.9204, -3.8480, 0.0000], [5.9204, 3.8480, 0.0000], [-0.4305, 0.0000, 5.9210]], "species": ["Nb", "Tl", "Tl", "Br", "Br", "Br", "Br", "F", "F"], "fractional_positions": [[0.0000, 0.0000, 0.0000], [0.3423, 0.3423, 0.7464], [0.6577, 0.6577, 0.2536], [0.1386, 0.6461, 0.2098], [0.3539, 0.8614, 0.7902], [0.6461, 0.1386, 0.2098], [0.8614, 0.3539, 0.7902], [0.1201, 0.1201, 0.2370], [0.8799, 0.8799, 0.7630]], "mass_density_g_cm3": 5.29, "formation_energy_uncorrected_ev_per_atom": -1.4412}

Entry 10:
{"formula": "BaAc2Pd6", "functional": "PBE", "state": "relaxed", "lattice": [[7.9489, 0.0000, 0.0000], [-3.9745, 6.8840, 0.0000], [0.0000, 0.0000, 4.1379]], "species": ["Ba", "Ac", "Ac", "Pd", "Pd", "Pd", "Pd", "Pd", "Pd"], "fractional_positions": [[0.0000, 0.0000, 0.0000], [0.3333, 0.6667, 0.0000], [0.6667, 0.3333, 0.0000], [0.0000, 0.3359, 0.5000], [0.0000, 0.6641, 0.5000], [0.3359, 0.0000, 0.5000], [0.3359, 0.3359, 0.5000], [0.6641, 0.0000, 0.5000], [0.6641, 0.6641, 0.5000]], "mass_density_g_cm3": 9.02, "formation_enthalpy_0k_mev_per_atom": -662, "dos_ef_per_ev_cell": 5.07}

Entry 11:
{"formula": "La2TbHo3Tm6", "functional": "PBE", "state": "relaxed", "lattice": [[3.0770, -5.3256, 0.0000], [3.0770, 5.3256, 0.0000], [-2.0454, 0.0000, 11.5187]], "species": ["La", "La", "Tb", "Ho", "Ho", "Ho", "Tm", "Tm", "Tm", "Tm", "Tm", "Tm"], "fractional_positions": [[0.1666, 0.8334, 0.0000], [0.8334, 0.1666, 0.0000], [0.5000, 0.5000, 0.0000], [0.0000, 0.0000, 0.5000], [0.3334, 0.6666, 0.5000], [0.6666, 0.3334, 0.5000], [0.0822, 0.4146, 0.7453], [0.2532, 0.2532, 0.2548], [0.4146, 0.0822, 0.7453], [0.5854, 0.9178, 0.2547], [0.7468, 0.7468, 0.7452], [0.9178, 0.5854, 0.2547]], "mass_density_g_cm3": 8.56, "formation_enthalpy_0k_mev_per_atom": 27, "dos_ef_per_ev_cell": 16.12}

Entry 12:
{"formula": "ZnNiAg2", "functional": "PBE", "state": "relaxed", "lattice": [[3.7716, 0.0000, 0.0000], [0.0000, 3.7716, 0.0000], [0.0000, 0.0000, 18.7825]], "species": ["Zn", "Zn", "Zn", "Zn", "Ni", "Ni", "Ni", "Ni", "Ag", "Ag", "Ag", "Ag", "Ag", "Ag", "Ag", "Ag"], "fractional_positions": [[0.0000, 0.0000, 0.0000], [0.0000, 0.5000, 0.2500], [0.5000, 0.0000, 0.7500], [0.5000, 0.5000, 0.5000], [0.0000, 0.0000, 0.5000], [0.0000, 0.5000, 0.7500], [0.5000, 0.0000, 0.2500], [0.5000, 0.5000, 0.0000], [0.2486, 0.2500, 0.6250], [0.2500, 0.7486, 0.8750], [0.2500, 0.7514, 0.3750], [0.2514, 0.2500, 0.1250], [0.7486, 0.7500, 0.1250], [0.7500, 0.2486, 0.3750], [0.7500, 0.2514, 0.8750], [0.7514, 0.7500, 0.6250]], "mass_density_g_cm3": 8.45, "formation_enthalpy_0k_mev_per_atom": 296, "dos_ef_per_ev_cell": 6.81}

| no. | volume (Å³/cell) |
| --- | --- |
| 1 | 269.67 |
| 2 | 618.05 |
| 3 | 222.41 |
| 4 | 380.57 |
| 5 | 96.76 |
| 6 | 251.10 |
| 7 | 387.97 |
| 8 | 149.60 |
| 9 | 269.78 |
| 10 | 226.42 |
| 11 | 377.51 |
| 12 | 267.18 |